The following is a DFT calculation (PBE with a Hubbard U) of an optimized crystal structure of LiCoNO.

Unit cell a=3.0416 b=4.9610 c=5.3557 alpha=90.00 beta=90.00 gamma=90.00
Element x y z (fractional)
Co  0.5000  0.9940  0.1723
Co  0.5000  0.4940  0.8277
Li  0.0000  0.4839  0.3206
Li  0.0000  0.9839  0.6794
N  0.0000  0.9175  0.2975
N  0.0000  0.4175  0.7025
O  0.5000  0.3587  0.1454
O  0.5000  0.8587  0.8546

## Properties
Energy: -5.45 eV/atom
Space group: Pmc2_1, No. 26